# PmNd6Ho2

A relaxed structure of PmNd6Ho2 (PBE-GGA, Alexandria).

## Properties
- Volume: 312.32 Å³/cell
- ΔE_f: 1.8 eV/f.u.
- N(E_F): 13.99 states/eV per cell
- E above lowest polymorph: 186.1 meV per atom
- Symmetry: C2/m, No. 12
- Total DFT energy (no corrections): -4.52 eV per atom

a b c (Å): 6.2099 7.6210 7.6210
angles (deg): 59.99 90.00 90.00
Last column: magnetic moment on the atom in μB.
Positions (direct):
Nd  0.7131  0.1883  0.1883  0.06
Nd  0.7119  0.6228  0.1879  0.06
Nd  0.7119  0.1879  0.6228  0.06
Nd  0.2869  0.8117  0.8117  0.06
Nd  0.2881  0.8121  0.3772  0.06
Nd  0.2881  0.3772  0.8121  0.06
Ho  0.7820  0.6665  0.6665  0.09
Ho  0.2180  0.3335  0.3335  0.09
Pm  0.0000  0.0000  0.0000  0.00